Entry from Alexandria via LeMat-Bulk: a relaxed Ac15Nd4In crystal (GGA-PBE).

The structure in POSCAR format:
```
Ac15Nd4In
1.0
-1.160 -1.365 -5.200
-3.819 -3.535 1.780
-18.993 20.007 -1.014
Ac Nd In
15 4 1
Direct
0.500 0.000 0.298
0.500 0.000 0.903
0.000 0.500 0.702
0.500 0.000 0.500
0.000 0.500 0.903
0.500 0.000 0.097
0.000 0.500 0.500
0.000 0.500 0.097
0.500 0.500 0.601
0.500 0.000 0.702
0.000 0.500 0.298
0.500 0.500 0.399
0.500 0.500 0.198
0.500 0.500 0.802
0.500 0.500 0.000
0.000 0.000 0.400
0.000 0.000 0.802
0.000 0.000 0.600
0.000 0.000 0.198
0.000 0.000 0.000
```

Results
formation energy = -0.015 eV/atom
electronic total energy = -83.73 eV/f.u.
symmetry = P4/mmm